PtBrN2 | PBE | relaxed

It has space group R-3m (No. 166, hexagonal axes), with a = 3.2414 Å, b = 3.2414 Å, c = 18.9090 Å, α = 90.00°, β = 90.00° and γ = 120.00°. The asymmetric unit holds Pt at (0.0000, 0.0000, 0.0000), Br at (0.0000, 0.0000, 0.5000) and N at (0.0000, 0.0000, 0.1016).

The uncorrected formation energy is 1.74 eV per atom.

=====

CoAs2Os | PBE | relaxed

It has space group I-4m2 (No. 119), with a = 3.646 Å, b = 3.646 Å, c = 8.700 Å, α = 90.00°, β = 90.00° and γ = 90.00°. The asymmetric unit holds Co at (0.000, 0.000, 0.000), As at (0.000, 0.000, 0.500), As at (0.000, 0.500, 0.250) and Os at (0.000, 0.500, 0.750).

The value obtained for the formation energy is 0.465 eV/atom.

=====

Mg2AgOs | PBE | relaxed

It has space group I-42d (No. 122), with a = 7.168 Å, b = 7.168 Å, c = 5.672 Å, α = 90.00°, β = 90.00° and γ = 90.00°. The asymmetric unit holds Mg at (0.248, 0.250, 0.125), Ag at (0.000, 0.000, 0.000) and Os at (0.000, 0.000, 0.500).

The value obtained for the formation energy is 0.621 eV/atom.

=====

SrCaC3 | PBE | relaxed

It has space group Pm-3m (No. 221), with a = 4.641 Å, b = 4.641 Å, c = 4.641 Å, α = 90.00°, β = 90.00° and γ = 90.00°. The asymmetric unit holds Sr at (0.000, 0.000, 0.000), Ca at (0.500, 0.500, 0.500) and C at (0.000, 0.000, 0.500).

The value obtained for the formation energy is 2.668 eV/atom.

=====

Rb6H2BrF3 | PBE | relaxed

It has space group C2/m (No. 12), with a = 18.854 Å, b = 4.278 Å, c = 8.675 Å, α = 90.00°, β = 103.99° and γ = 90.00°. The asymmetric unit holds Rb at (0.006, 0.000, 0.216), Rb at (0.166, 0.500, 0.086), Rb at (0.179, 0.500, 0.586), H at (0.170, 0.000, 0.839), Br at (0.000, 0.500, 0.500), F at (0.000, 0.500, 0.000) and F at (0.168, 0.000, 0.324).

=====

Pa4Ni2Sb5 | PBE | relaxed

It has space group P2/m (No. 10), with a = 7.368 Å, b = 3.902 Å, c = 9.244 Å, α = 90.00°, β = 91.54° and γ = 90.00°. The asymmetric unit holds Pa at (0.213, 0.000, 0.115), Pa at (0.229, 0.000, 0.579), Ni at (0.095, 0.500, 0.395), Sb at (0.115, 0.500, 0.834), Sb at (0.433, 0.500, 0.335) and Sb at (0.500, 0.500, 0.000).

The uncorrected formation energy is -0.43 eV per atom.

=====

Ac3La6Tm2 | PBE | relaxed

It has space group R-3m (No. 166, hexagonal axes), with a = 3.7800 Å, b = 3.7800 Å, c = 101.0207 Å, α = 90.00°, β = 90.00° and γ = 120.00°. The asymmetric unit holds Ac at (0.0000, 0.0000, 0.0000), Ac at (0.0000, 0.0000, 0.2705), La at (0.0000, 0.0000, 0.0946), La at (0.0000, 0.0000, 0.1819), La at (0.0000, 0.0000, 0.3648) and Tm at (0.0000, 0.0000, 0.4562).

The value obtained for the formation energy is 0.043 eV/atom.

=====

InNiBiPb2 | PBE | relaxed

It has space group P4/mmm (No. 123), with a = 5.243 Å, b = 5.243 Å, c = 5.036 Å, α = 90.00°, β = 90.00° and γ = 90.00°. The asymmetric unit holds In at (0.000, 0.000, 0.000), Ni at (0.000, 0.000, 0.500), Bi at (0.500, 0.500, 0.000) and Pb at (0.000, 0.500, 0.500).

The value obtained for the formation energy is 0.065 eV/atom.

=====

TmInIr | PBE | relaxed

It has space group I4mm (No. 107), with a = 3.252 Å, b = 3.252 Å, c = 11.784 Å, α = 90.00°, β = 90.00° and γ = 90.00°. The asymmetric unit holds Tm at (0.000, 0.000, 0.000), In at (0.000, 0.000, 0.709) and Ir at (0.000, 0.000, 0.354).

The value obtained for the formation energy is -0.510 eV/atom.

=====

NaCaBeGe2 | PBE | relaxed

It has space group P4/mmm (No. 123), with a = 4.615 Å, b = 4.615 Å, c = 5.120 Å, α = 90.00°, β = 90.00° and γ = 90.00°. The asymmetric unit holds Na at (0.000, 0.000, 0.000), Ca at (0.500, 0.500, 0.000), Be at (0.500, 0.500, 0.500) and Ge at (0.000, 0.500, 0.500).

The value obtained for the formation energy is 0.138 eV/atom.

=====

SrCu2Br6 | PBE | relaxed

It has space group C2/c (No. 15), with a = 14.838 Å, b = 11.278 Å, c = 7.524 Å, α = 90.00°, β = 109.85° and γ = 90.00°. The asymmetric unit holds Sr at (0.000, 0.156, 0.250), Cu at (0.214, 0.433, 0.226), Br at (0.092, 0.311, 0.026), Br at (0.113, 0.065, 0.661) and Br at (0.188, 0.393, 0.521).

The uncorrected formation energy is -0.83 eV per atom.

=====

RbC2F | PBE | relaxed

It has space group I4_1/amd (No. 141, origin choice 2), with a = 3.140 Å, b = 3.140 Å, c = 29.388 Å, α = 90.00°, β = 90.00° and γ = 90.00°. The asymmetric unit holds Rb at (0.000, 0.250, 0.375), C at (0.000, 0.000, 0.000) and F at (0.000, 0.250, 0.875).

The uncorrected formation energy is 0.81 eV per atom.

=====

Number 1: volume 14.34 Å³ per atom, uncorrected energy -4.3513 eV per atom. Number 2: volume 14.46 Å³ per atom, uncorrected energy -6.4433 eV per atom. Number 3: volume 18.21 Å³ per atom, uncorrected energy -3.6967 eV per atom. Number 4: volume 19.99 Å³ per atom, uncorrected energy -3.6026 eV per atom. Number 5: volume 28.29 Å³ per atom, uncorrected energy -3.2956 eV per atom. Number 6: volume 24.15 Å³ per atom, uncorrected energy -6.8094 eV per atom. Number 7: volume 37.88 Å³ per atom, uncorrected energy -4.5783 eV per atom. Number 8: volume 27.69 Å³ per atom, uncorrected energy -3.8980 eV per atom. Number 9: volume 20.77 Å³ per atom, uncorrected energy -5.8668 eV per atom. Number 10: volume 21.81 Å³ per atom, uncorrected energy -3.1186 eV per atom. Number 11: volume 32.89 Å³ per atom, uncorrected energy -3.0454 eV per atom. Number 12: volume 18.11 Å³ per atom, uncorrected energy -4.5128 eV per atom.